FeSbAsF2: relaxed, GGA+U.

The calculation puts the density of states at the Fermi level at 7.28 states/eV/cell. The crystal system is tetragonal. The value obtained for the total DFT energy (no corrections) is -4.193 eV per atom. For the volume, the calculation gives 19.812 Å³/atom.

abc: 4.080 5.952 4.080
angles: 90.00 90.00 90.00
Site moments in Bohr magnetons follow the coordinates.
Fractional coordinates of all 5 atoms:
F (0.000, 0.000, 0.500)  0.00
F (0.500, 0.000, 0.000)  0.00
Fe (0.500, 0.500, 0.500)  3.15
As (0.000, 0.000, 0.000)  0.02
Sb (0.000, 0.500, 0.000)  -0.19